[1]
# PBE MgHgAs2, relaxed
# offset from the most stable computed form: 248 meV/atom
# uncorrected energy: -0.09598 Ha/atom
data_MgHgAs2
_chemical_formula_sum 'Mg3 Hg3 As6'
_cell_length_a 3.1938
_cell_length_b 3.1938
_cell_length_c 28.7923
_cell_angle_alpha 90.00
_cell_angle_beta 90.00
_cell_angle_gamma 120.00
_symmetry_space_group_name_H-M 'R 3 m'
_symmetry_Int_Tables_number 160
_symmetry_space_group_name_Hall 'R 3 -2"'
loop_
_atom_site_label
_atom_site_type_symbol
_atom_site_fract_x
_atom_site_fract_y
_atom_site_fract_z
Mg1 Mg 0.0000 0.0000 0.0000
Hg1 Hg 0.0000 0.0000 0.2526
As1 As 0.0000 0.0000 0.5032
As2 As 0.0000 0.0000 0.7390

***

[2]
# PBE Mg2Hg2As, relaxed
# offset from the most stable computed form: 90 meV/atom
# uncorrected energy: -0.06368 Ha/atom
data_Mg2Hg2As
_chemical_formula_sum 'Mg4 Hg4 As2'
_cell_length_a 8.070
_cell_length_b 8.070
_cell_length_c 3.319
_cell_angle_alpha 90.00
_cell_angle_beta 90.00
_cell_angle_gamma 90.00
_symmetry_space_group_name_H-M 'P 4/m b m'
_symmetry_Int_Tables_number 127
_symmetry_space_group_name_Hall '-P 4 2ab'
loop_
_atom_site_label
_atom_site_type_symbol
_atom_site_fract_x
_atom_site_fract_y
_atom_site_fract_z
Mg1 Mg 0.169 0.331 0.000
Hg1 Hg 0.131 0.631 0.500
As1 As 0.000 0.000 0.500

***

[3]
# PBE MgHgAs, relaxed
# offset from the most stable computed form: 26 meV/atom
# uncorrected energy: -0.08295 Ha/atom
data_MgHgAs
_chemical_formula_sum 'Mg2 Hg2 As2'
_cell_length_a 3.239
_cell_length_b 4.048
_cell_length_c 10.092
_cell_angle_alpha 90.00
_cell_angle_beta 90.00
_cell_angle_gamma 90.00
_symmetry_space_group_name_H-M 'I m m 2'
_symmetry_Int_Tables_number 44
_symmetry_space_group_name_Hall 'I 2 -2'
loop_
_atom_site_label
_atom_site_type_symbol
_atom_site_fract_x
_atom_site_fract_y
_atom_site_fract_z
Mg1 Mg 0.000 0.000 0.000
Hg1 Hg 0.000 0.000 0.306
As1 As 0.000 0.000 0.610

***

[4]
# PBE Mg4HgAs, relaxed
# uncorrected energy: -0.06633 Ha/atom
data_Mg4HgAs
_chemical_formula_sum 'Mg16 Hg4 As4'
_cell_length_a 8.152
_cell_length_b 8.152
_cell_length_c 8.152
_cell_angle_alpha 90.00
_cell_angle_beta 90.00
_cell_angle_gamma 90.00
_symmetry_space_group_name_H-M 'F -4 3 m'
_symmetry_Int_Tables_number 216
_symmetry_space_group_name_Hall 'F -4 2 3'
loop_
_atom_site_label
_atom_site_type_symbol
_atom_site_fract_x
_atom_site_fract_y
_atom_site_fract_z
Mg1 Mg 0.124 0.124 0.124
Hg1 Hg 0.000 0.000 0.500
As1 As 0.250 0.250 0.750

***

- Among the records above, which one has the highest uncorrected energy?
  Mg2Hg2As

***

- Which of these has the highest uncorrected energy?
  Mg2Hg2As